Below is an optimized crystal structure of NdDy7, with properties calculated at the PBE-GGA level.

Geometry as POSCAR:
```
NdDy7
1.0
7.1069 0.0000 0.0000
3.5534 6.1547 0.0000
3.5534 2.0516 5.8027
Dy Nd
7 1
Direct
0.5000 0.5000 0.0000 Dy
0.5000 0.5000 0.5000 Dy
0.5000 0.0000 0.5000 Dy
0.0000 0.5000 0.0000 Dy
0.0000 0.0000 0.5000 Dy
0.0000 0.5000 0.5000 Dy
0.5000 0.0000 0.0000 Dy
0.0000 0.0000 0.0000 Nd
```

Summary:
N(E_F) = 10.1 states/eV/f.u.
ρ = 8.4 g/cm³
E_tot = -4.61 eV per atom
symmetry = Fm-3m
formation energy = 0.016 eV per atom
volume = 253.8 Å³/f.u.
crystal system = cubic

***

Below is an optimized crystal structure of InTe4Pb3, with properties calculated at the PBE-GGA level.

Geometry as POSCAR:
```
InTe4Pb3
1.0
6.5156 0.0000 0.0000
0.0000 10.2456 0.0000
0.0000 0.0000 9.9076
Pb Te In
6 8 2
Direct
0.0645 0.6667 0.7644 Pb
0.5647 0.8483 0.0000 Pb
0.0647 0.1517 0.5000 Pb
0.0645 0.6667 0.2356 Pb
0.5645 0.3333 0.7356 Pb
0.5645 0.3333 0.2644 Pb
0.5648 0.6551 0.2460 Te
0.5649 0.1181 0.5000 Te
0.5648 0.6551 0.7540 Te
0.5642 0.1729 0.0000 Te
0.0649 0.8819 0.0000 Te
0.0648 0.3449 0.2540 Te
0.0648 0.3449 0.7460 Te
0.0642 0.8271 0.5000 Te
0.5628 0.8191 0.5000 In
0.0628 0.1809 0.0000 In
```

Summary:
raw formation energy = -0.281 eV per atom
N(E_F) = 2.5 states/eV/f.u.
ρ = 6.3 g/cm³
E_tot = -3.58 eV per atom
symmetry = Pmn2_1
volume = 330.7 Å³/f.u.
crystal system = orthorhombic

***

Below is an optimized crystal structure of Gd2ThSn, with properties calculated at the PBE-GGA level.

Geometry as POSCAR:
```
Gd2ThSn
1.0
4.8491 0.0000 0.0000
0.0000 4.8877 0.0000
0.0000 0.0000 4.8877
Gd Sn Th
2 1 1
Direct
0.0000 0.5000 0.0000 Gd
0.0000 0.0000 0.5000 Gd
0.5000 0.0000 0.0000 Sn
0.5000 0.5000 0.5000 Th
```

Summary:
N(E_F) = 4.3 states/eV/f.u.
ρ = 9.5 g/cm³
E_tot = -10.27 eV per atom
symmetry = P4/mmm
formation energy = -0.378 eV per atom
volume = 115.8 Å³/f.u.
crystal system = tetragonal

***

Below is an optimized crystal structure of KZrTa2Cu, with properties calculated at the PBE-GGA level.

Geometry as POSCAR:
```
KZrTa2Cu
1.0
4.8057 0.0000 0.0000
0.0000 4.8057 0.0000
0.0000 0.0000 5.2057
Ta Zr Cu K
2 1 1 1
Direct
0.0000 0.5000 0.0000 Ta
0.5000 0.0000 0.0000 Ta
0.0000 0.0000 0.5000 Zr
0.0000 0.0000 0.0000 Cu
0.5000 0.5000 0.5000 K
```

Summary:
N(E_F) = 7.3 states/eV/f.u.
ρ = 7.7 g/cm³
E_tot = -6.07 eV per atom
symmetry = P4/mmm
formation energy = 1.418 eV per atom
volume = 120.2 Å³/f.u.
crystal system = tetragonal

***

Below is an optimized crystal structure of KNi, with properties calculated at the PBE-GGA level.

Geometry as POSCAR:
```
KNi
1.0
11.4083 0.0000 0.0000
-5.7041 9.8799 0.0000
0.0000 0.0000 4.1322
K Ni
6 6
Direct
0.2102 0.4203 0.7500 K
0.7899 0.2102 0.2500 K
0.4203 0.2101 0.2500 K
0.2101 0.7898 0.7500 K
0.5797 0.7899 0.7500 K
0.7898 0.5797 0.2500 K
0.0406 0.5203 0.2500 Ni
0.4797 0.5203 0.2500 Ni
0.4797 0.9594 0.2500 Ni
0.9594 0.4797 0.7500 Ni
0.5203 0.0406 0.7500 Ni
0.5203 0.4797 0.7500 Ni
```

Summary:
N(E_F) = 2.2 states/eV/f.u.
ρ = 2.1 g/cm³
E_tot = -2.84 eV per atom
symmetry = P6_3/mmc
formation energy = 0.602 eV per atom
volume = 77.6 Å³/f.u.
crystal system = hexagonal

***

Below is an optimized crystal structure of Cu2NiAgH, with properties calculated at the PBE-GGA level.

Geometry as POSCAR:
```
Cu2NiAgH
1.0
3.9182 0.0000 0.0000
0.0000 3.9182 0.0000
0.0000 0.0000 3.5579
Cu H Ni Ag
2 1 1 1
Direct
0.5000 0.0000 0.0000 Cu
0.0000 0.5000 0.0000 Cu
0.0000 0.0000 0.0000 H
0.0000 0.0000 0.5000 Ni
0.5000 0.5000 0.5000 Ag
```

Summary:
N(E_F) = 1.2 states/eV/f.u.
ρ = 9.0 g/cm³
E_tot = -3.95 eV per atom
symmetry = P4/mmm
volume = 54.6 Å³/f.u.
crystal system = tetragonal